# Na2Sn4O9, single point on PBEsol structure, DFT meta-GGA SCAN
# Raw total energy: -15.664 eV/atom
data_Na2Sn4O9
_symmetry_space_group_name_H-M 'P -3 c 1'
_symmetry_Int_Tables_number 165
_symmetry_space_group_name_Hall '-P 3 2"c'
_cell_length_a 5.4457
_cell_length_b 5.4457
_cell_length_c 14.5435
_cell_angle_alpha 90.00
_cell_angle_beta 90.00
_cell_angle_gamma 120.00
loop_
_atom_site_label
_atom_site_fract_x
_atom_site_fract_y
_atom_site_fract_z
Na1 0.0000 0.0000 0.1477
Sn1 0.3333 0.6667 0.0247
Sn2 0.3333 0.6667 0.3122
O1 0.0000 0.3378 0.2500
O2 0.0406 0.3989 0.9203

# NaSnO, single point on PBEsol structure, DFT meta-GGA SCAN
# Raw total energy: -16.670 eV/atom
data_NaSnO
_symmetry_space_group_name_H-M 'P 4/n m m'
_symmetry_Int_Tables_number 129
_cell_length_a 4.269
_cell_length_b 4.269
_cell_length_c 6.441
_cell_angle_alpha 90.00
_cell_angle_beta 90.00
_cell_angle_gamma 90.00
loop_
_symmetry_equiv_pos_as_xyz
'x,y,z'
'-x,-y,-z'
'-y+1/2,x,z'
'y+1/2,-x,-z'
'-x+1/2,-y+1/2,z'
'x+1/2,y+1/2,-z'
'y,-x+1/2,z'
'-y,x+1/2,-z'
'x+1/2,-y,-z'
'-x+1/2,y,z'
'-y,-x,-z'
'y,x,z'
'-x,y+1/2,-z'
'x,-y+1/2,z'
'y+1/2,x+1/2,-z'
'-y+1/2,-x+1/2,z'
loop_
_atom_site_label
_atom_site_fract_x
_atom_site_fract_y
_atom_site_fract_z
Na1 0.250 0.750 0.000
Sn1 0.250 0.250 0.448
O1 0.250 0.250 0.140

# Na2SnO3, single point on PBEsol structure, DFT meta-GGA SCAN
# Raw total energy: -12.394 eV/atom
data_Na2SnO3
_symmetry_space_group_name_H-M 'P 63/m c m'
_symmetry_Int_Tables_number 193
_symmetry_space_group_name_Hall '-P 6c 2'
_cell_length_a 5.5388
_cell_length_b 5.5388
_cell_length_c 11.0490
_cell_angle_alpha 90.00
_cell_angle_beta 90.00
_cell_angle_gamma 120.00
loop_
_atom_site_label
_atom_site_fract_x
_atom_site_fract_y
_atom_site_fract_z
Na1 0.0000 0.0000 0.0000
Na2 0.0000 0.3208 0.2500
Sn1 0.3333 0.6667 0.0000
O1 0.0000 0.3683 0.6055

# Na2SnO3, single point on PBEsol structure, DFT meta-GGA SCAN
# Raw total energy: -12.413 eV/atom
data_Na2SnO3
_symmetry_space_group_name_H-M 'C 1 2/m 1'
_symmetry_Int_Tables_number 12
_symmetry_space_group_name_Hall '-C 2y'
_cell_length_a 5.556
_cell_length_b 9.612
_cell_length_c 5.780
_cell_angle_alpha 90.00
_cell_angle_beta 109.10
_cell_angle_gamma 90.00
loop_
_atom_site_label
_atom_site_fract_x
_atom_site_fract_y
_atom_site_fract_z
Na1 0.000 0.000 0.000
Na2 0.000 0.158 0.500
Na3 0.000 0.500 0.500
Sn1 0.000 0.333 0.000
O1 0.204 0.500 0.214
O2 0.243 0.316 0.787

# Na4SnO3, single point on PBEsol structure, DFT meta-GGA SCAN
# Raw total energy: -10.470 eV/atom
data_Na4SnO3
_symmetry_space_group_name_H-M 'C 1 c 1'
_symmetry_Int_Tables_number 9
_symmetry_space_group_name_Hall 'C -2yc'
_cell_length_a 5.805
_cell_length_b 16.606
_cell_length_c 5.875
_cell_angle_alpha 90.00
_cell_angle_beta 110.00
_cell_angle_gamma 90.00
loop_
_atom_site_label
_atom_site_fract_x
_atom_site_fract_y
_atom_site_fract_z
Na1 0.000 0.034 0.000
Na2 0.017 0.457 0.033
Na3 0.019 0.247 0.004
Na4 0.470 0.358 0.059
Sn1 0.022 0.356 0.504
O1 0.222 0.339 0.282
O2 0.255 0.434 0.741
O3 0.277 0.063 0.792

# Na4Sn3O8, single point on PBEsol structure, DFT meta-GGA SCAN
# Raw total energy: -13.486 eV/atom
data_Na4Sn3O8
_symmetry_space_group_name_H-M 'P 41 3 2'
_symmetry_Int_Tables_number 213
_symmetry_space_group_name_Hall 'P 4bd 2ab 3'
_cell_length_a 9.241
_cell_length_b 9.241
_cell_length_c 9.241
_cell_angle_alpha 90.00
_cell_angle_beta 90.00
_cell_angle_gamma 90.00
loop_
_atom_site_label
_atom_site_fract_x
_atom_site_fract_y
_atom_site_fract_z
Na1 0.107 0.125 0.857
Na2 0.125 0.625 0.875
Sn1 0.118 0.368 0.125
O1 0.092 0.366 0.904
O2 0.120 0.880 0.380

# Na2SnO3, single point on PBEsol structure, DFT meta-GGA SCAN
# Raw total energy: -12.413 eV/atom
data_Na2SnO3
_symmetry_space_group_name_H-M 'C 1 2/c 1'
_symmetry_Int_Tables_number 15
_symmetry_space_group_name_Hall '-C 2yc'
_cell_length_a 5.551
_cell_length_b 9.622
_cell_length_c 11.083
_cell_angle_alpha 90.00
_cell_angle_beta 99.82
_cell_angle_gamma 90.00
loop_
_atom_site_label
_atom_site_fract_x
_atom_site_fract_y
_atom_site_fract_z
Na1 0.000 0.085 0.250
Na2 0.237 0.079 0.000
Na3 0.250 0.250 0.500
Sn1 0.000 0.249 0.750
Sn2 0.000 0.418 0.250
O1 0.095 0.415 0.644
O2 0.147 0.099 0.643
O3 0.149 0.269 0.144

# Na4Sn5O12, single point on PBEsol structure, DFT meta-GGA SCAN
# Raw total energy: -14.689 eV/atom
data_Na4Sn5O12
_symmetry_space_group_name_H-M 'P -1'
_symmetry_Int_Tables_number 2
_symmetry_space_group_name_Hall '-P 1'
_cell_length_a 5.847
_cell_length_b 10.154
_cell_length_c 10.767
_cell_angle_alpha 72.70
_cell_angle_beta 77.07
_cell_angle_gamma 78.52
loop_
_atom_site_label
_atom_site_fract_x
_atom_site_fract_y
_atom_site_fract_z
Na1 0.137 0.412 0.402
Na2 0.275 0.902 0.025
Na3 0.305 0.785 0.550
Na4 0.349 0.575 0.111
Sn1 0.117 0.593 0.852
Sn2 0.188 0.256 0.934
Sn3 0.207 0.100 0.686
Sn4 0.246 0.097 0.265
Sn5 0.407 0.422 0.645
O1 0.045 0.265 0.298
O2 0.061 0.944 0.372
O3 0.062 0.429 0.779
O4 0.107 0.100 0.871
O5 0.139 0.734 0.947
O6 0.222 0.422 0.012
O7 0.275 0.568 0.486
O8 0.322 0.270 0.571
O9 0.341 0.101 0.079
O10 0.436 0.578 0.730
O11 0.466 0.946 0.656
O12 0.497 0.731 0.192

# Na2SnO3, single point on PBEsol structure, DFT meta-GGA SCAN
# Raw total energy: -12.411 eV/atom
data_Na2SnO3
_symmetry_space_group_name_H-M 'F d d d'
_symmetry_Int_Tables_number 70
_cell_length_a 6.566
_cell_length_b 9.185
_cell_length_c 19.133
_cell_angle_alpha 90.00
_cell_angle_beta 90.00
_cell_angle_gamma 90.00
loop_
_symmetry_equiv_pos_as_xyz
'x,y,z'
'-x,-y,-z'
'-x+1/4,-y+1/4,z'
'x+1/4,y+1/4,-z'
'x,-y+1/4,-z+1/4'
'-x,y+1/4,z+1/4'
'-x+1/4,y,-z+1/4'
'x+1/4,-y,z+1/4'
'x,y+1/2,z+1/2'
'-x,-y+1/2,-z+1/2'
'-x+1/4,-y+3/4,z+1/2'
'x+1/4,y+3/4,-z+1/2'
'x,-y+3/4,-z+3/4'
'-x,y+3/4,z+3/4'
'-x+1/4,y+1/2,-z+3/4'
'x+1/4,-y+1/2,z+3/4'
'x+1/2,y,z+1/2'
'-x+1/2,-y,-z+1/2'
'-x+3/4,-y+1/4,z+1/2'
'x+3/4,y+1/4,-z+1/2'
'x+1/2,-y+1/4,-z+3/4'
'-x+1/2,y+1/4,z+3/4'
'-x+3/4,y,-z+3/4'
'x+3/4,-y,z+3/4'
'x+1/2,y+1/2,z'
'-x+1/2,-y+1/2,-z'
'-x+3/4,-y+3/4,z'
'x+3/4,y+3/4,-z'
'x+1/2,-y+3/4,-z+1/4'
'-x+1/2,y+3/4,z+1/4'
'-x+3/4,y+1/2,-z+1/4'
'x+3/4,-y+1/2,z+1/4'
loop_
_atom_site_label
_atom_site_fract_x
_atom_site_fract_y
_atom_site_fract_z
Na1 0.125 0.125 0.047
Na2 0.125 0.125 0.370
Sn1 0.125 0.125 0.541
O1 0.084 0.375 0.875
O2 0.111 0.355 0.717

# Na2SnTeO6, single point on PBEsol structure, DFT meta-GGA SCAN
# Raw total energy: -13.535 eV/atom
data_Na2SnTeO6
_symmetry_space_group_name_H-M 'P 1 21/c 1'
_symmetry_Int_Tables_number 14
_symmetry_space_group_name_Hall '-P 2ybc'
_cell_length_a 5.433
_cell_length_b 5.503
_cell_length_c 9.456
_cell_angle_alpha 90.00
_cell_angle_beta 125.08
_cell_angle_gamma 90.00
loop_
_atom_site_label
_atom_site_fract_x
_atom_site_fract_y
_atom_site_fract_z
Na1 0.242 0.041 0.250
Sn1 0.500 0.000 0.000
Te1 0.000 0.000 0.500
O1 0.143 0.212 0.951
O2 0.244 0.696 0.954
O3 0.333 0.027 0.741

# Na4SrTa5O15, single point on PBEsol structure, DFT meta-GGA SCAN
# Raw total energy: -21.553 eV/atom
data_Na4SrTa5O15
_symmetry_space_group_name_H-M 'P -1'
_symmetry_Int_Tables_number 2
_symmetry_space_group_name_Hall '-P 1'
_cell_length_a 6.817
_cell_length_b 8.778
_cell_length_c 11.154
_cell_angle_alpha 108.79
_cell_angle_beta 90.63
_cell_angle_gamma 104.39
loop_
_atom_site_label
_atom_site_fract_x
_atom_site_fract_y
_atom_site_fract_z
Na1 0.000 0.000 0.000
Na2 0.000 0.000 0.500
Na3 0.197 0.603 0.399
Na4 0.199 0.599 0.901
Na5 0.401 0.206 0.802
Sr1 0.399 0.199 0.300
Ta1 0.098 0.798 0.199
Ta2 0.100 0.800 0.700
Ta3 0.297 0.399 0.602
Ta4 0.300 0.400 0.097
Ta5 0.500 0.000 0.000
Ta6 0.500 0.000 0.500
O1 0.029 0.015 0.280
O2 0.092 0.301 0.697
O3 0.093 0.337 0.454
O4 0.101 0.289 0.195
O5 0.123 0.267 0.938
O6 0.167 0.583 0.124
O7 0.232 0.616 0.679
O8 0.287 0.908 0.097
O9 0.297 0.938 0.851
O10 0.298 0.883 0.590
O11 0.328 0.876 0.335
O12 0.360 0.180 0.527
O13 0.442 0.220 0.074
O14 0.480 0.530 0.259
O15 0.500 0.500 0.000
O16 0.500 0.500 0.500

# NaSr2Ta3O9, single point on PBEsol structure, DFT meta-GGA SCAN
# Raw total energy: -23.357 eV/atom
data_NaSr2Ta3O9
_symmetry_space_group_name_H-M 'P -3 m 1'
_symmetry_Int_Tables_number 164
_symmetry_space_group_name_Hall '-P 3 2"'
_cell_length_a 5.6546
_cell_length_b 5.6546
_cell_length_c 6.9257
_cell_angle_alpha 90.00
_cell_angle_beta 90.00
_cell_angle_gamma 120.00
loop_
_atom_site_label
_atom_site_fract_x
_atom_site_fract_y
_atom_site_fract_z
Na1 0.0000 0.0000 0.0000
Sr1 0.3333 0.6667 0.6725
Ta1 0.0000 0.0000 0.5000
Ta2 0.3333 0.6667 0.1649
O1 0.0000 0.5000 0.0000
O2 0.1684 0.3367 0.3367

Number 10 is which compound? Na2SnTeO6

The highest raw total energy belongs to which entry? Na4SnO3

Copy entry 6 word for word.
# Na4Sn3O8, single point on PBEsol structure, DFT meta-GGA SCAN
# Raw total energy: -13.486 eV/atom
data_Na4Sn3O8
_symmetry_space_group_name_H-M 'P 41 3 2'
_symmetry_Int_Tables_number 213
_symmetry_space_group_name_Hall 'P 4bd 2ab 3'
_cell_length_a 9.241
_cell_length_b 9.241
_cell_length_c 9.241
_cell_angle_alpha 90.00
_cell_angle_beta 90.00
_cell_angle_gamma 90.00
loop_
_atom_site_label
_atom_site_fract_x
_atom_site_fract_y
_atom_site_fract_z
Na1 0.107 0.125 0.857
Na2 0.125 0.625 0.875
Sn1 0.118 0.368 0.125
O1 0.092 0.366 0.904
O2 0.120 0.880 0.380

Copy entry 5 word for word.
# Na4SnO3, single point on PBEsol structure, DFT meta-GGA SCAN
# Raw total energy: -10.470 eV/atom
data_Na4SnO3
_symmetry_space_group_name_H-M 'C 1 c 1'
_symmetry_Int_Tables_number 9
_symmetry_space_group_name_Hall 'C -2yc'
_cell_length_a 5.805
_cell_length_b 16.606
_cell_length_c 5.875
_cell_angle_alpha 90.00
_cell_angle_beta 110.00
_cell_angle_gamma 90.00
loop_
_atom_site_label
_atom_site_fract_x
_atom_site_fract_y
_atom_site_fract_z
Na1 0.000 0.034 0.000
Na2 0.017 0.457 0.033
Na3 0.019 0.247 0.004
Na4 0.470 0.358 0.059
Sn1 0.022 0.356 0.504
O1 0.222 0.339 0.282
O2 0.255 0.434 0.741
O3 0.277 0.063 0.792